[1]
The following is a PBE calculation of crystalline POs2Pb at its relaxed geometry, from the Alexandria database.

The energy of formation is 1.14 eV/atom. For the energy relative to the lowest polymorph listed for this composition, the calculation gives 0.8397 eV/atom. Its density of states at the Fermi level is 3.96 states/eV/f.u. The value obtained for the total energy is -6.752 eV/atom. The total magnetization comes out at 0.00 μB/atom.

It has space group C2/m (No. 12), with a = 5.9730 Å, b = 8.6748 Å, c = 3.0793 Å, α = 90.00°, β = 120.68° and γ = 90.00°. Symmetry generates all atoms from P at (0.0000, 0.0000, 0.0000), Os at (0.2500, 0.2500, 0.0000) and Pb at (0.0000, 0.5000, 0.0000).

---

[2]
The following is a PBE calculation of crystalline POsPb2 at its relaxed geometry, from the Alexandria database.

The energy of formation is 0.86 eV/atom. Its density of states at the Fermi level is 2.98 states/eV/f.u. The value obtained for the total energy is -5.156 eV/atom. The total magnetization comes out at 0.00 μB/atom.

It has space group P4/mmm (No. 123), with a = 3.3157 Å, b = 3.3157 Å, c = 7.6594 Å, α = 90.00°, β = 90.00° and γ = 90.00°. Symmetry generates all atoms from P at (0.0000, 0.0000, 0.0000), Os at (0.0000, 0.0000, 0.5000) and Pb at (0.5000, 0.5000, 0.2705).

---

[3]
The following is a PBE calculation of crystalline POs2Pb at its relaxed geometry, from the Alexandria database.

The energy of formation is 1.07 eV/atom. For the energy relative to the lowest polymorph listed for this composition, the calculation gives 0.7718 eV/atom. Its density of states at the Fermi level is 4.31 states/eV/f.u. The value obtained for the total energy is -6.820 eV/atom. The total magnetization comes out at 0.00 μB/atom.

It has space group I-4m2 (No. 119), with a = 4.1758 Å, b = 4.1758 Å, c = 7.6827 Å, α = 90.00°, β = 90.00° and γ = 90.00°. Symmetry generates all atoms from P at (0.0000, 0.0000, 0.0000), Os at (0.0000, 0.0000, 0.5000), Os at (0.0000, 0.5000, 0.2500) and Pb at (0.0000, 0.5000, 0.7500).

---

[4]
The following is a PBE calculation of crystalline POs2Pb at its relaxed geometry, from the Alexandria database.

The energy of formation is 0.40 eV/atom. For the energy relative to the lowest polymorph listed for this composition, the calculation gives 0.0952 eV/atom. Its density of states at the Fermi level is 3.18 states/eV/f.u. The value obtained for the total energy is -7.497 eV/atom. The total magnetization comes out at 0.00 μB/atom.

It has space group P4mm (No. 99), with a = 2.9386 Å, b = 2.9386 Å, c = 8.3960 Å, α = 90.00°, β = 90.00° and γ = 90.00°. Symmetry generates all atoms from P at (0.0000, 0.0000, 0.0000), Os at (0.0000, 0.0000, 0.6232), Os at (0.5000, 0.5000, 0.8366) and Pb at (0.5000, 0.5000, 0.3613).

---

[5]
The following is a PBE calculation of crystalline POsPb2 at its relaxed geometry, from the Alexandria database.

The energy of formation is 0.19 eV/atom. Its density of states at the Fermi level is 1.80 states/eV/f.u. The value obtained for the total energy is -5.825 eV/atom. The total magnetization comes out at 0.00 μB/atom.

It has space group P4mm (No. 99), with a = 3.1275 Å, b = 3.1275 Å, c = 8.9014 Å, α = 90.00°, β = 90.00° and γ = 90.00°. Symmetry generates all atoms from P at (0.0000, 0.0000, 0.0000), Os at (0.5000, 0.5000, 0.8833), Pb at (0.0000, 0.0000, 0.6232) and Pb at (0.5000, 0.5000, 0.2715).

---

[6]
The following is a PBE calculation of crystalline POsPb2 at its relaxed geometry, from the Alexandria database.

The energy of formation is 0.95 eV/atom. Its density of states at the Fermi level is 3.00 states/eV/f.u. The value obtained for the total energy is -5.060 eV/atom. The total magnetization comes out at 0.00 μB/atom.

It has space group Pmmm (No. 47), with a = 3.4133 Å, b = 4.8080 Å, c = 5.1217 Å, α = 90.00°, β = 90.00° and γ = 90.00°. Symmetry generates all atoms from P at (0.0000, 0.0000, 0.0000), Os at (0.0000, 0.5000, 0.5000), Pb at (0.5000, 0.0000, 0.5000) and Pb at (0.5000, 0.5000, 0.0000).

---

[7]
The following is a PBE calculation of crystalline POs2Pb at its relaxed geometry, from the Alexandria database.

The energy of formation is 0.86 eV/atom. For the energy relative to the lowest polymorph listed for this composition, the calculation gives 0.5600 eV/atom. Its density of states at the Fermi level is 3.57 states/eV/f.u. The value obtained for the total energy is -7.032 eV/atom. The total magnetization comes out at 0.00 μB/atom.

It has space group I-42d (No. 122), with a = 5.9280 Å, b = 5.9280 Å, c = 10.1415 Å, α = 90.00°, β = 90.00° and γ = 90.00°. Symmetry generates all atoms from P at (0.0000, 0.0000, 0.0000), Os at (0.1835, 0.2500, 0.1250) and Pb at (0.0000, 0.0000, 0.5000).

---

[8]
The following is a PBE calculation of crystalline POs2Pb at its relaxed geometry, from the Alexandria database.

The energy of formation is 0.49 eV/atom. For the energy relative to the lowest polymorph listed for this composition, the calculation gives 0.1851 eV/atom. Its density of states at the Fermi level is 2.78 states/eV/f.u. The value obtained for the total energy is -7.407 eV/atom. The total magnetization comes out at 0.00 μB/atom.

It has space group Pmm2 (No. 25), with a = 2.9049 Å, b = 3.8515 Å, c = 6.1980 Å, α = 90.00°, β = 90.00° and γ = 90.00°. Symmetry generates all atoms from P at (0.0000, 0.0000, 0.0000), Os at (0.0000, 0.0000, 0.6364), Os at (0.5000, 0.5000, 0.8877) and Pb at (0.5000, 0.5000, 0.3684).

---

[9]
The following is a PBE calculation of crystalline POs2Pb at its relaxed geometry, from the Alexandria database.

The energy of formation is 0.56 eV/atom. For the energy relative to the lowest polymorph listed for this composition, the calculation gives 0.2564 eV/atom. Its density of states at the Fermi level is 1.26 states/eV/f.u. The value obtained for the total energy is -7.336 eV/atom. The total magnetization comes out at 0.00 μB/atom.

It has space group P2/m (No. 10), with a = 2.9726 Å, b = 3.5839 Å, c = 6.8226 Å, α = 90.00°, β = 92.17° and γ = 90.00°. Symmetry generates all atoms from P at (0.0000, 0.0000, 0.0000), Os at (0.2342, 0.5000, 0.8297) and Pb at (0.5000, 0.0000, 0.5000).

---

[10]
The following is a PBE calculation of crystalline POs2Pb at its relaxed geometry, from the Alexandria database.

The energy of formation is 0.57 eV/atom. For the energy relative to the lowest polymorph listed for this composition, the calculation gives 0.2682 eV/atom. Its density of states at the Fermi level is 4.49 states/eV/f.u. The value obtained for the total energy is -7.324 eV/atom. The total magnetization comes out at 0.00 μB/atom.

It has space group P4/mmm (No. 123), with a = 3.0159 Å, b = 3.0159 Å, c = 7.1816 Å, α = 90.00°, β = 90.00° and γ = 90.00°. Symmetry generates all atoms from P at (0.0000, 0.0000, 0.0000), Os at (0.5000, 0.5000, 0.1862) and Pb at (0.0000, 0.0000, 0.5000).

---

[11]
The following is a PBE calculation of crystalline POs2Pb at its relaxed geometry, from the Alexandria database.

The energy of formation is 0.92 eV/atom. For the energy relative to the lowest polymorph listed for this composition, the calculation gives 0.6170 eV/atom. Its density of states at the Fermi level is 1.78 states/eV/f.u. The value obtained for the total energy is -6.975 eV/atom. The total magnetization comes out at 0.00 μB/atom.

It has space group P4/mmm (No. 123), with a = 4.4921 Å, b = 4.4921 Å, c = 3.2039 Å, α = 90.00°, β = 90.00° and γ = 90.00°. Symmetry generates all atoms from P at (0.0000, 0.0000, 0.0000), Os at (0.0000, 0.5000, 0.5000) and Pb at (0.5000, 0.5000, 0.0000).

---

[12]
The following is a PBE calculation of crystalline POs2Pb at its relaxed geometry, from the Alexandria database.

The energy of formation is 0.73 eV/atom. For the energy relative to the lowest polymorph listed for this composition, the calculation gives 0.4271 eV/atom. Its density of states at the Fermi level is 3.03 states/eV/f.u. The value obtained for the total energy is -7.165 eV/atom. The total magnetization comes out at 0.00 μB/atom.

It has space group Cmmm (No. 65), with a = 2.9746 Å, b = 5.2427 Å, c = 8.9969 Å, α = 90.00°, β = 90.00° and γ = 90.00°. Symmetry generates all atoms from P at (0.0000, 0.0000, 0.0000), Os at (0.0000, 0.5000, 0.1933) and Pb at (0.0000, 0.0000, 0.5000).